[1]
## AsRu3Pt (PBE-GGA)

Data for an optimized crystal structure of AsRu3Pt.

Cell: 4.468 4.468 4.468 Å, 90.00 90.00 90.00°
Fractional positions:
1 As 0.000 0.000 0.000
2 Ru 0.000 0.000 0.500
3 Ru 0.000 0.500 0.000
4 Ru 0.500 0.000 0.000
5 Pt 0.500 0.500 0.500

Values from the calculation:
E: -6.60 eV per atom
Energy above the most stable polymorph in this dataset: 0.000 eV/atom
Crystal system: cubic
Size of the total moment: 1.40 Bohr magnetons per cell
Energy of formation from the pure elements: 1.099 eV per atom

[2]
## YAlCd (PBE-GGA)

Data for an optimized crystal structure of YAlCd.

Cell: 4.737 8.127 7.194 Å, 90.00 90.00 90.00°
Fractional positions:
1 Y 0.250 0.230 0.000
2 Y 0.250 0.270 0.500
3 Y 0.750 0.730 0.500
4 Y 0.750 0.770 0.000
5 Al 0.250 0.577 0.774
6 Al 0.250 0.923 0.274
7 Al 0.750 0.077 0.274
8 Al 0.750 0.423 0.774
9 Cd 0.250 0.592 0.219
10 Cd 0.250 0.908 0.719
11 Cd 0.750 0.092 0.719
12 Cd 0.750 0.408 0.219

Values from the calculation:
E: -4.10 eV per atom
Crystal system: orthorhombic
Size of the total moment: 0.00 Bohr magnetons per cell
Energy of formation from the pure elements: -0.391 eV per atom

[3]
## CeAsRu2N (PBE-GGA)

Data for an optimized crystal structure of CeAsRu2N.

Cell: 6.081 6.081 7.214 Å, 90.00 90.00 143.49°
Fractional positions:
1 Ce 0.044 0.956 0.750
2 Ce 0.956 0.044 0.250
3 As 0.230 0.770 0.250
4 As 0.770 0.230 0.750
5 Ru 0.337 0.663 0.549
6 Ru 0.337 0.663 0.951
7 Ru 0.663 0.337 0.049
8 Ru 0.663 0.337 0.451
9 N 0.500 0.500 0.000
10 N 0.500 0.500 0.500

Values from the calculation:
E: -8.16 eV per atom
Crystal system: orthorhombic
Size of the total moment: 0.99 Bohr magnetons per cell

[4]
## TbPaRh (PBE-GGA)

Data for an optimized crystal structure of TbPaRh.

Cell: 3.569 3.569 10.988 Å, 90.00 90.00 90.00°
Fractional positions:
1 Tb 0.000 0.000 0.000
2 Tb 0.500 0.500 0.500
3 Pa 0.000 0.000 0.299
4 Pa 0.500 0.500 0.799
5 Rh 0.000 0.000 0.688
6 Rh 0.500 0.500 0.188

Values from the calculation:
E: -7.61 eV per atom
Energy above the most stable polymorph in this dataset: 0.000 eV/atom
Crystal system: tetragonal
Size of the total moment: 0.00 Bohr magnetons per cell
Energy of formation from the pure elements: -0.456 eV per atom

[5]
## NaSmDy (PBE-GGA)

Data for an optimized crystal structure of NaSmDy.

Cell: 4.152 4.152 11.888 Å, 90.00 90.00 90.00°
Fractional positions:
1 Na 0.250 0.750 0.000
2 Na 0.750 0.250 0.000
3 Sm 0.250 0.250 0.262
4 Sm 0.750 0.750 0.738
5 Dy 0.250 0.250 0.572
6 Dy 0.750 0.750 0.428

Values from the calculation:
E: -3.27 eV per atom
Energy above the most stable polymorph in this dataset: 0.153 eV/atom
Crystal system: tetragonal
Size of the total moment: 0.00 Bohr magnetons per cell
Energy of formation from the pure elements: 0.276 eV per atom

[6]
## CoSbMo2 (PBE-GGA)

Data for an optimized crystal structure of CoSbMo2.

Cell: 6.320 6.320 6.320 Å, 90.00 90.00 90.00°
Fractional positions:
1 Co 0.000 0.000 0.000
2 Co 0.000 0.500 0.500
3 Co 0.500 0.000 0.500
4 Co 0.500 0.500 0.000
5 Sb 0.250 0.250 0.250
6 Sb 0.250 0.750 0.750
7 Sb 0.750 0.250 0.750
8 Sb 0.750 0.750 0.250
9 Mo 0.000 0.000 0.500
10 Mo 0.000 0.500 0.000
11 Mo 0.250 0.250 0.750
12 Mo 0.250 0.750 0.250
13 Mo 0.500 0.000 0.000
14 Mo 0.500 0.500 0.500
15 Mo 0.750 0.250 0.250
16 Mo 0.750 0.750 0.750

Values from the calculation:
E: -7.95 eV per atom
Crystal system: cubic
Size of the total moment: 7.78 Bohr magnetons per cell

[7]
## ErInNi6 (PBE-GGA)

Data for an optimized crystal structure of ErInNi6.

Cell: 4.804 4.804 4.804 Å, 90.00 90.00 90.00°
Fractional positions:
1 Er 0.000 0.000 0.000
2 In 0.500 0.500 0.500
3 Ni 0.000 0.253 0.500
4 Ni 0.000 0.747 0.500
5 Ni 0.253 0.500 0.000
6 Ni 0.500 0.000 0.253
7 Ni 0.500 0.000 0.747
8 Ni 0.747 0.500 0.000

Values from the calculation:
E: -5.25 eV per atom
Crystal system: cubic
Size of the total moment: 0.00 Bohr magnetons per cell
Energy of formation from the pure elements: -0.004 eV per atom

[8]
## TbLuSnPb (PBE-GGA)

Data for an optimized crystal structure of TbLuSnPb.

Cell: 7.602 7.602 7.602 Å, 90.00 90.00 90.00°
Fractional positions:
1 Tb 0.000 0.000 0.000
2 Tb 0.000 0.500 0.500
3 Tb 0.500 0.000 0.500
4 Tb 0.500 0.500 0.000
5 Lu 0.000 0.000 0.500
6 Lu 0.000 0.500 0.000
7 Lu 0.500 0.000 0.000
8 Lu 0.500 0.500 0.500
9 Sn 0.250 0.250 0.750
10 Sn 0.250 0.750 0.250
11 Sn 0.750 0.250 0.250
12 Sn 0.750 0.750 0.750
13 Pb 0.250 0.250 0.250
14 Pb 0.250 0.750 0.750
15 Pb 0.750 0.250 0.750
16 Pb 0.750 0.750 0.250

Values from the calculation:
E: -4.64 eV per atom
Crystal system: cubic
Size of the total moment: 0.00 Bohr magnetons per cell
Energy of formation from the pure elements: -0.425 eV per atom